Entry 1:
Ba2AlGe2: optimized geometry, PBE.

Unit cell a=6.709 b=6.709 c=11.851 alpha=106.66 beta=106.66 gamma=38.33
Sites, in units of the cell vectors:
Ba: 0.093 0.093 0.411
Ba: 0.303 0.303 0.859
Ba: 0.697 0.697 0.141
Ba: 0.907 0.907 0.589
Al: 0.425 0.425 0.180
Al: 0.575 0.575 0.820
Ge: 0.036 0.036 0.910
Ge: 0.355 0.355 0.353
Ge: 0.645 0.645 0.647
Ge: 0.964 0.964 0.090

Calculated values
crystal system: monoclinic
energy of formation from the pure elements: -0.47 eV per atom
energy: -3.838 eV per atom
symmetry: No. 12
V: 315 Å³/cell
Fermi-level density of states: 4.59 states/eV/cell
spin magnetization: 0.0 μB per formula unit

=====

Entry 2:
Ba2AlGe2: optimized geometry, PBE.

Unit cell a=8.485 b=8.485 c=8.485 alpha=130.15 beta=69.86 gamma=134.39
Sites, in units of the cell vectors:
Ba: 0.141 0.191 0.332
Ba: 0.359 0.691 0.050
Ba: 0.641 0.309 0.950
Ba: 0.859 0.809 0.668
Al: 0.250 0.750 0.500
Al: 0.750 0.250 0.500
Ge: 0.105 0.699 0.803
Ge: 0.395 0.199 0.594
Ge: 0.605 0.801 0.406
Ge: 0.895 0.301 0.197

Calculated values
crystal system: orthorhombic
energy of formation from the pure elements: -0.49 eV per atom
energy: -3.851 eV per atom
symmetry: No. 72
V: 327 Å³/cell
Fermi-level density of states: 6.72 states/eV/cell
spin magnetization: 0.0 μB per formula unit

=====

Entry 3:
BaAl2Ge2: optimized geometry, PBE.

Unit cell a=8.242 b=8.242 c=3.538 alpha=90.00 beta=90.00 gamma=90.00
Sites, in units of the cell vectors:
Ba: 0.000 0.000 0.000
Ba: 0.500 0.500 0.000
Al: 0.131 0.369 0.500
Al: 0.369 0.869 0.500
Al: 0.631 0.131 0.500
Al: 0.869 0.631 0.500
Ge: 0.129 0.629 0.000
Ge: 0.371 0.129 0.000
Ge: 0.629 0.871 0.000
Ge: 0.871 0.371 0.000

Calculated values
crystal system: tetragonal
energy of formation from the pure elements: -0.02 eV per atom
energy: -3.752 eV per atom
symmetry: No. 127
V: 240 Å³/cell
Fermi-level density of states: 4.45 states/eV/cell
spin magnetization: 0.0 μB per formula unit